(1)
# TbNpC2 (PBE, relaxed)
data_TbNpC2
_chemical_formula_sum 'Tb3 Np3 C6'
_space_group_name_H-M_alt 'R -3 m'
_space_group_IT_number 166
_space_group_name_Hall '-R 3 2"'
_cell_length_a 3.5669
_cell_length_b 3.5669
_cell_length_c 17.1743
_cell_angle_alpha 90.00
_cell_angle_beta 90.00
_cell_angle_gamma 120.00
loop_
_atom_site_label
_atom_site_type_symbol
_atom_site_fract_x
_atom_site_fract_y
_atom_site_fract_z
Tb1 Tb 0.0000 0.0000 0.0000
Np1 Np 0.0000 0.0000 0.5000
C1 C 0.0000 0.0000 0.2370
# **Distance to the lowest polymorph of the same formula**: 0.0 meV per atom
# **Energy of formation**: -50 meV per atom
# **Magnetization**: 0.47 μB/atom
# **DOS(E_F)**: 1.469 states/eV per atom

(2)
# Tb2NpTc2C4 (PBE, relaxed)
data_Tb2NpTc2C4
_chemical_formula_sum 'Tb4 Np2 Tc4 C8'
_space_group_name_H-M_alt 'C 1 2/m 1'
_space_group_IT_number 12
_space_group_name_Hall '-C 2y'
_cell_length_a 13.065
_cell_length_b 3.404
_cell_length_c 6.108
_cell_angle_alpha 90.00
_cell_angle_beta 108.26
_cell_angle_gamma 90.00
loop_
_atom_site_label
_atom_site_type_symbol
_atom_site_fract_x
_atom_site_fract_y
_atom_site_fract_z
Tb1 Tb 0.134 0.000 0.036
Np1 Np 0.000 0.000 0.500
Tc1 Tc 0.176 0.500 0.499
C1 C 0.027 0.500 0.247
C2 C 0.229 0.000 0.729
# **Energy of formation**: 30 meV per atom
# **Magnetization**: 0.25 μB/atom
# **DOS(E_F)**: 0.742 states/eV per atom

(3)
# Tb2NpUC4 (PBE, relaxed)
data_Tb2NpUC4
_chemical_formula_sum 'Tb2 Np1 U1 C4'
_space_group_name_H-M_alt 'P 1 2/m 1'
_space_group_IT_number 10
_space_group_name_Hall '-P 2y'
_cell_length_a 6.053
_cell_length_b 3.588
_cell_length_c 6.194
_cell_angle_alpha 90.00
_cell_angle_beta 109.34
_cell_angle_gamma 90.00
loop_
_atom_site_label
_atom_site_type_symbol
_atom_site_fract_x
_atom_site_fract_y
_atom_site_fract_z
Tb1 Tb 0.000 0.000 0.000
Tb2 Tb 0.000 0.500 0.500
Np1 Np 0.500 0.000 0.500
U1 U 0.500 0.500 0.000
C1 C 0.289 0.500 0.259
C2 C 0.292 0.000 0.761
# **Energy of formation**: -155 meV per atom
# **Magnetization**: 0.25 μB/atom
# **DOS(E_F)**: 1.080 states/eV per atom